[1]
This record from Alexandria describes Ca2ZnSn2Pd5 after structural relaxation. The functional is GGA-PBE.

Results
* VASP energy: -89.97 eV for the cell shown
* volume: 19.83 Å³ per atom

a = 10.802 Å, b = 10.802 Å, c = 3.399 Å
α = 90.00°, β = 90.00°, γ = 90.00°
Space group P4/mbm (No. 127)
Inequivalent atoms, fractional coordinates:
Ca: 0.167 0.333 0.000 x4
Zn: 0.000 0.000 0.000 x2
Sn: 0.137 0.637 0.000 x4
Pd: 0.000 0.500 0.500 x2
Pd: 0.051 0.815 0.500 x8

[2]
This record from Alexandria describes HoScH8Ir2 after structural relaxation. The functional is GGA-PBE.

Results
* VASP energy: -118.47 eV for the cell shown
* volume: 9.06 Å³ per atom

a = 8.940 Å, b = 4.274 Å, c = 5.884 Å
α = 90.00°, β = 104.79°, γ = 90.00°
Space group C2/m (No. 12)
Inequivalent atoms, fractional coordinates:
Ho: 0.000 0.000 0.000 x2
Sc: 0.000 0.500 0.500 x2
H: 0.082 0.000 0.649 x4
H: 0.090 0.500 0.924 x4
H: 0.167 0.236 0.332 x8
Ir: 0.228 0.500 0.165 x4

[3]
This record from Alexandria describes InPtSN2 after structural relaxation. The functional is GGA-PBE.

Results
* raw formation energy: 1803.6 meV per atom
* volume: 18.38 Å³ per atom
* energy relative to the lowest polymorph listed for this composition: 0.9056 eV per atom

a = 4.093 Å, b = 4.093 Å, c = 5.486 Å
α = 90.00°, β = 90.00°, γ = 90.00°
Space group P4/mmm (No. 123)
Inequivalent atoms, fractional coordinates:
In: 0.000 0.000 0.000 x1
Pt: 0.500 0.500 0.500 x1
S: 0.000 0.000 0.500 x1
N: 0.000 0.500 0.000 x2